BeTe2F, relaxed, DFT GGA-PBE; energy above the lowest structure with this stoichiometry = 273 meV per atom; ΔE_f (raw) = -0.5 eV per formula unit
1.0
-6.166 -6.635 0.097
-3.681 -8.085 1.774
-5.814 -6.080 3.361
Be Te F
1 2 1
Direct
0.000 0.000 0.000
0.912 0.912 0.912
0.088 0.088 0.088
0.500 0.500 0.500